(1)
Material: TcP3Pd
Method: DFT, SCAN
State: PBEsol geometry

Output
Space-group type: No. 221
Formation energy, eV per atom: 1.25
DOS at the Fermi energy, states/eV per cell: 2.81

Lattice parameters (Å, degrees): 4.515 4.515 4.515 90.00 90.00 90.00
Positions (direct):
Tc (0.000, 0.000, 0.000)
P (0.000, 0.500, 0.500)
P (0.500, 0.000, 0.500)
P (0.500, 0.500, 0.000)
Pd (0.500, 0.500, 0.500)

=====

(2)
Material: BePd3Rh
Method: DFT, SCAN
State: PBEsol geometry

Output
Space-group type: No. 221
Formation energy, eV per atom: 1.49
DOS at the Fermi energy, states/eV per cell: 4.72

Lattice parameters (Å, degrees): 4.679 4.679 4.679 90.00 90.00 90.00
Positions (direct):
Be (0.000, 0.000, 0.000)
Pd (0.000, 0.500, 0.500)
Pd (0.500, 0.000, 0.500)
Pd (0.500, 0.500, 0.000)
Rh (0.500, 0.500, 0.500)

=====

(3)
Material: KSiHg2Rh
Method: DFT, SCAN
State: PBEsol geometry

Output
Space-group type: No. 123
E_form (uncorrected), eV per atom: 0.85
DOS at the Fermi energy, states/eV per cell: 3.19

Lattice parameters (Å, degrees): 5.149 5.149 5.145 90.00 90.00 90.00
Positions (direct):
K (0.000, 0.000, 0.000)
Si (0.500, 0.500, 0.000)
Hg (0.000, 0.500, 0.500)
Hg (0.500, 0.000, 0.500)
Rh (0.000, 0.000, 0.500)

=====

(4)
Material: YRhSeN2
Method: DFT, SCAN
State: PBEsol geometry

Output
Space-group type: No. 123
E_form (uncorrected), eV per atom: 1.01
DOS at the Fermi energy, states/eV per cell: 2.91

Lattice parameters (Å, degrees): 4.191 4.191 5.599 90.00 90.00 90.00
Positions (direct):
Y (0.000, 0.000, 0.000)
Rh (0.500, 0.500, 0.500)
Se (0.000, 0.000, 0.500)
N (0.000, 0.500, 0.000)
N (0.500, 0.000, 0.000)

=====

Which formula does entry 4 have?
YRhSeN2

=====

DOS at the Fermi energy of number 3 (KSiHg2Rh)?
3.19 states/eV per cell